Record 1
## SrMgPO2 (PBE)

Data for a relaxed structure of SrMgPO2.

Lattice parameters (Å, degrees): 4.203 4.203 4.947 90.00 90.00 90.00
Space group P4/mmm (No. 123)
Symmetry-distinct sites (fractional):
Sr1 0.000 0.000 0.000
Mg1 0.500 0.500 0.500
P1 0.500 0.500 0.000
O1 0.000 0.500 0.500

Values from the calculation:
V: 87.4 Å³/f.u.
total magnetic moment: 2.894 μB per formula unit
relative energy among the computed polymorphs: 0 kJ/mol of formula units
uncorrected formation energy: -0.932 eV per atom

=====

Record 2
## SrMgP2O (PBE)

Data for a relaxed structure of SrMgP2O.

Lattice parameters (Å, degrees): 5.604 5.604 4.376 90.00 90.00 90.00
Space group P4/mmm (No. 123)
Symmetry-distinct sites (fractional):
Sr1 0.000 0.000 0.000
Mg1 0.500 0.500 0.500
P1 0.000 0.500 0.000
O1 0.000 0.000 0.500

Values from the calculation:
V: 137.4 Å³/f.u.
total magnetic moment: 2.525 μB per formula unit
relative energy among the computed polymorphs: 435 kJ/mol of formula units
uncorrected formation energy: 0.484 eV per atom

=====

Record 3
## SrMgPO2 (PBE)

Data for a relaxed structure of SrMgPO2.

Lattice parameters (Å, degrees): 4.435 4.435 6.239 90.00 90.00 90.00
Space group P4/mmm (No. 123)
Symmetry-distinct sites (fractional):
Sr1 0.000 0.000 0.000
Mg1 0.500 0.500 0.500
P1 0.000 0.000 0.500
O1 0.000 0.500 0.000

Values from the calculation:
V: 122.7 Å³/f.u.
total magnetic moment: 3.015 μB per formula unit
relative energy among the computed polymorphs: 380 kJ/mol of formula units
uncorrected formation energy: -0.144 eV per atom

=====

Record 4
## SrMgP2O (PBE)

Data for a relaxed structure of SrMgP2O.

Lattice parameters (Å, degrees): 5.264 5.264 3.750 90.00 90.00 90.00
Space group P4/mmm (No. 123)
Symmetry-distinct sites (fractional):
Sr1 0.000 0.000 0.000
Mg1 0.500 0.500 0.500
P1 0.000 0.500 0.500
O1 0.500 0.500 0.000

Values from the calculation:
V: 103.9 Å³/f.u.
total magnetic moment: 0.000 μB per formula unit
relative energy among the computed polymorphs: 0 kJ/mol of formula units
uncorrected formation energy: -0.417 eV per atom

=====

Record 5
## SrMgPO4 (PBE)

Data for a relaxed structure of SrMgPO4.

Lattice parameters (Å, degrees): 7.998 7.998 7.998 90.00 90.00 90.00
Space group F-43m (No. 216)
Symmetry-distinct sites (fractional):
Sr1 0.000 0.000 0.000
Mg1 0.250 0.250 0.250
P1 0.000 0.000 0.500
O1 0.112 0.112 0.388

Values from the calculation:
V: 127.9 Å³/f.u.
total magnetic moment: 0.000 μB per formula unit
uncorrected formation energy: -2.231 eV per atom